The following is a PBE-GGA calculation of crystalline TbEu2Al at its relaxed geometry, from the Alexandria database.

a b c (Å): 4.827 4.827 5.132
angles (deg): 90.00 90.00 90.00
Positions (direct):
Tb  0.000  0.000  0.000
Eu  0.000  0.500  0.500
Eu  0.500  0.000  0.500
Al  0.500  0.500  0.000

Calculated values
Size of the total moment, μB/cell: 14.30
Relative energy among the computed polymorphs, meV per atom: 0
Total energy, eV/atom: -7.291
DOS(E_F), states/eV/f.u.: 3.6
Crystal system: tetragonal